Record 1
Here is crystalline CoNiW2 at its relaxed geometry from Alexandria. Energies are from GGA-PBE.

Results
Its energy relative to the lowest polymorph listed for this composition is 275 meV per atom. Its energy relative to the elements is 315.3 meV/atom. The volume comes out at 217 Å³ per cell.

CIF file:
```
data_CoNiW2
_chemical_formula_sum 'Co4 Ni4 W8'
_cell_length_a 6.0076
_cell_length_b 6.0076
_cell_length_c 6.0076
_cell_angle_alpha 90.00
_cell_angle_beta 90.00
_cell_angle_gamma 90.00
_space_group_name_H-M_alt 'F m -3 m'
_space_group_IT_number 225
_space_group_name_Hall '-F 4 2 3'
loop_
_atom_site_label
_atom_site_type_symbol
_atom_site_fract_x
_atom_site_fract_y
_atom_site_fract_z
Co1 Co 0.0000 0.0000 0.0000
Ni1 Ni 0.0000 0.0000 0.5000
W1 W 0.2500 0.2500 0.2500
```

=====

Record 2
Here is crystalline SrSn3Au at its relaxed geometry from Alexandria. Energies are from GGA-PBE.

Results
Its energy relative to the elements is -416.8 meV/atom. The volume comes out at 577 Å³ per cell.

CIF file:
```
data_SrSn3Au
_chemical_formula_sum 'Sr4 Sn12 Au4'
_cell_length_a 4.7318
_cell_length_b 25.7350
_cell_length_c 4.7389
_cell_angle_alpha 90.00
_cell_angle_beta 90.00
_cell_angle_gamma 90.00
_space_group_name_H-M_alt 'C m m m'
_space_group_IT_number 65
_space_group_name_Hall '-C 2 2'
loop_
_atom_site_label
_atom_site_type_symbol
_atom_site_fract_x
_atom_site_fract_y
_atom_site_fract_z
Sr1 Sr 0.0000 0.1676 0.0000
Sn1 Sn 0.0000 0.0564 0.5000
Sn2 Sn 0.0000 0.2801 0.5000
Sn3 Sn 0.0000 0.4436 0.0000
Au1 Au 0.0000 0.3840 0.5000
```

=====

Record 3
Here is crystalline YOsPb2 at its relaxed geometry from Alexandria. Energies are from GGA-PBE.

Results
Its energy relative to the lowest polymorph listed for this composition is 192 meV per atom. Its energy relative to the elements is 332.2 meV/atom. The volume comes out at 379 Å³ per cell.

CIF file:
```
data_YOsPb2
_chemical_formula_sum 'Y4 Os4 Pb8'
_cell_length_a 7.2353
_cell_length_b 7.2353
_cell_length_c 7.2353
_cell_angle_alpha 90.00
_cell_angle_beta 90.00
_cell_angle_gamma 90.00
_space_group_name_H-M_alt 'F -4 3 m'
_space_group_IT_number 216
_space_group_name_Hall 'F -4 2 3'
loop_
_atom_site_label
_atom_site_type_symbol
_atom_site_fract_x
_atom_site_fract_y
_atom_site_fract_z
Y1 Y 0.0000 0.0000 0.0000
Os1 Os 0.2500 0.2500 0.7500
Pb1 Pb 0.0000 0.0000 0.5000
Pb2 Pb 0.2500 0.2500 0.2500
```

=====

Record 4
Here is crystalline SrInI2Br at its relaxed geometry from Alexandria. Energies are from GGA-PBE.

Results
Its energy relative to the lowest polymorph listed for this composition is 0 meV per atom. The volume comes out at 835 Å³ per cell.

CIF file:
```
data_SrInI2Br
_chemical_formula_sum 'Sr4 In4 I8 Br4'
_cell_length_a 4.7804
_cell_length_b 15.5439
_cell_length_c 11.2348
_cell_angle_alpha 90.00
_cell_angle_beta 90.00
_cell_angle_gamma 90.00
_space_group_name_H-M_alt 'C m c m'
_space_group_IT_number 63
_space_group_name_Hall '-C 2c 2'
loop_
_atom_site_label
_atom_site_type_symbol
_atom_site_fract_x
_atom_site_fract_y
_atom_site_fract_z
Sr1 Sr 0.0000 0.0000 0.0000
In1 In 0.0000 0.2757 0.2500
I1 I 0.0000 0.3591 0.5555
Br1 Br 0.0000 0.0796 0.7500
```

=====

Record 5
Here is crystalline MgZnCuIr2 at its relaxed geometry from Alexandria. Energies are from GGA-PBE.

Results
Its energy relative to the elements is 1275.5 meV/atom. The volume comes out at 90 Å³ per cell.

CIF file:
```
data_MgZnCuIr2
_chemical_formula_sum 'Mg1 Zn1 Cu1 Ir2'
_cell_length_a 4.5644
_cell_length_b 4.5644
_cell_length_c 4.2965
_cell_angle_alpha 90.00
_cell_angle_beta 90.00
_cell_angle_gamma 90.00
_space_group_name_H-M_alt 'P 4/m m m'
_space_group_IT_number 123
_space_group_name_Hall '-P 4 2'
loop_
_atom_site_label
_atom_site_type_symbol
_atom_site_fract_x
_atom_site_fract_y
_atom_site_fract_z
Mg1 Mg 0.0000 0.0000 0.0000
Zn1 Zn 0.5000 0.5000 0.5000
Cu1 Cu 0.0000 0.0000 0.5000
Ir1 Ir 0.0000 0.5000 0.0000
```

=====

Record 6
Here is crystalline Tb7HoTl4 at its relaxed geometry from Alexandria. Energies are from GGA-PBE.

Results
Its energy relative to the elements is -22.8 meV/atom. The volume comes out at 726 Å³ per cell.

CIF file:
```
data_Tb7HoTl4
_chemical_formula_sum 'Tb14 Ho2 Tl8'
_cell_length_a 14.9590
_cell_length_b 5.8023
_cell_length_c 9.8250
_cell_angle_alpha 90.00
_cell_angle_beta 121.60
_cell_angle_gamma 90.00
_space_group_name_H-M_alt 'C 1 2/m 1'
_space_group_IT_number 12
loop_
_space_group_symop_operation_xyz
'x,y,z'
'-x,-y,-z'
'-x,y,-z'
'x,-y,z'
'x+1/2,y+1/2,z'
'-x+1/2,-y+1/2,-z'
'-x+1/2,y+1/2,-z'
'x+1/2,-y+1/2,z'
loop_
_atom_site_label
_atom_site_type_symbol
_atom_site_fract_x
_atom_site_fract_y
_atom_site_fract_z
Tb1 Tb 0.0000 0.0000 0.0000
Tb2 Tb 0.0674 0.5000 0.4053
Tb3 Tb 0.2041 0.5000 0.8796
Tb4 Tb 0.2415 0.0000 0.6932
Ho1 Ho 0.0000 0.5000 0.0000
Tl1 Tl 0.0478 0.0000 0.7126
Tl2 Tl 0.1855 0.0000 0.3372
```

=====

Record 7
Here is crystalline HoScBe2 at its relaxed geometry from Alexandria. Energies are from GGA-PBE.

Results
Its energy relative to the lowest polymorph listed for this composition is 9 meV per atom. Its energy relative to the elements is 37.2 meV/atom. The volume comes out at 284 Å³ per cell.

CIF file:
```
data_HoScBe2
_chemical_formula_sum 'Ho4 Sc4 Be8'
_cell_length_a 6.5767
_cell_length_b 6.5767
_cell_length_c 6.5767
_cell_angle_alpha 90.00
_cell_angle_beta 90.00
_cell_angle_gamma 90.00
_space_group_name_H-M_alt 'F m -3 m'
_space_group_IT_number 225
_space_group_name_Hall '-F 4 2 3'
loop_
_atom_site_label
_atom_site_type_symbol
_atom_site_fract_x
_atom_site_fract_y
_atom_site_fract_z
Ho1 Ho 0.0000 0.0000 0.0000
Sc1 Sc 0.0000 0.0000 0.5000
Be1 Be 0.2500 0.2500 0.2500
```

=====

Record 8
Here is crystalline KSi8 at its relaxed geometry from Alexandria. Energies are from GGA-PBE.

Results
The value obtained for the calculated total energy is -4.558 eV/atom. The volume comes out at 386 Å³ per cell.

CIF file:
```
data_KSi8
_chemical_formula_sum 'K2 Si16'
_cell_length_a 8.4797
_cell_length_b 9.4043
_cell_length_c 5.0332
_cell_angle_alpha 90.00
_cell_angle_beta 106.10
_cell_angle_gamma 90.00
_space_group_name_H-M_alt 'C 1 2/m 1'
_space_group_IT_number 12
loop_
_space_group_symop_operation_xyz
'x,y,z'
'-x,-y,-z'
'-x,y,-z'
'x,-y,z'
'x+1/2,y+1/2,z'
'-x+1/2,-y+1/2,-z'
'-x+1/2,y+1/2,-z'
'x+1/2,-y+1/2,z'
loop_
_atom_site_label
_atom_site_type_symbol
_atom_site_fract_x
_atom_site_fract_y
_atom_site_fract_z
K1 K 0.0000 0.0000 0.0000
Si1 Si 0.0000 0.3402 0.0000
Si2 Si 0.1104 0.5000 0.7021
Si3 Si 0.2360 0.2575 0.7308
```